Density functional theory data (PBE-GGA) for an optimized crystal structure of Ta2Ni3Rh3.

Summary:
- E_tot: -67.030 eV for the cell shown
- Density of states at the Fermi level: 0.746 states/eV/atom
- Total magnetization: 0.00 Bohr magnetons per cell
- Crystal system: orthorhombic

Lattice parameters (Å, degrees): 3.826 3.840 7.469 90.00 90.00 90.00
Fractional positions:
Ta  0.000  0.000  0.248
Ta  0.000  0.000  0.752
Ni  0.000  0.500  0.000
Ni  0.500  0.500  0.246
Ni  0.500  0.500  0.754
Rh  0.000  0.500  0.500
Rh  0.500  0.000  0.000
Rh  0.500  0.000  0.500